Below is a relaxed structure of Pm2Co15Ni2, with properties calculated at the PBE level.

```
Pm2Co15Ni2
1.0
4.1913 2.4199 4.0402
-4.1913 2.4199 4.0402
0.0000 -4.8397 4.0402
Pm Co Ni
2 15 2
Direct
0.1580 0.1580 0.1580
0.8420 0.8420 0.8420
0.0000 0.5000 0.5000
0.1555 0.1555 0.6514
0.1555 0.6514 0.1555
0.2164 0.5000 0.7836
0.2164 0.7836 0.5000
0.3486 0.8445 0.8445
0.5000 0.0000 0.5000
0.5000 0.2164 0.7836
0.5000 0.5000 0.0000
0.5000 0.7836 0.2164
0.6514 0.1555 0.1555
0.7836 0.2164 0.5000
0.7836 0.5000 0.2164
0.8445 0.3486 0.8445
0.8445 0.8445 0.3486
0.3992 0.3992 0.3992
0.6008 0.6008 0.6008
```

- Total DFT energy (no corrections): -6.785 eV/atom
- Space group: R-3m
- D(E_F): 1.145 states/eV per atom
- Spin magnetization: 23.08 μB per formula unit
- Energy relative to the elements: -0.07 eV/atom